No. 1
A geometry-optimized Nd2SmYBi5 structure, computed with PBE-GGA.

Summary:
Space-group type: No. 123
Energy of formation (eV/atom): -0.07

Unit cell a=5.5234 b=5.5234 c=11.9473 alpha=90.00 beta=90.00 gamma=90.00
Fractional positions:
Nd 0.5000 0.5000 0.7250
Nd 0.5000 0.5000 0.2750
Bi 0.5000 0.5000 0.0000
Bi 0.0000 0.5000 0.5000
Bi 0.5000 0.0000 0.5000
Bi 0.0000 0.0000 0.7559
Bi 0.0000 0.0000 0.2441
Y 0.0000 0.0000 0.0000
Sm 0.0000 0.0000 0.5000



No. 2
A geometry-optimized CaPr2Ho structure, computed with PBE-GGA.

Summary:
Space-group type: No. 225
ΔE to the lowest computed polymorph (eV per formula unit): 0.32
Energy of formation (eV/atom): 0.11

Unit cell a=5.8707 b=5.8707 c=5.8707 alpha=60.00 beta=60.00 gamma=60.00
Fractional positions:
Pr 0.7500 0.7500 0.7500
Pr 0.2500 0.2500 0.2500
Ca 0.5000 0.5000 0.5000
Ho 0.0000 0.0000 0.0000



No. 3
A geometry-optimized ZrBeAl2 structure, computed with PBE-GGA.

Summary:
Space-group type: No. 12
Energy of formation (eV/atom): 0.00

Unit cell a=5.4268 b=5.4268 c=2.7626 alpha=78.23 beta=78.23 gamma=118.12
Fractional positions:
Zr 0.0000 0.5000 0.5000
Be 0.5000 0.0000 0.5000
Al 0.5000 0.5000 0.0000
Al 0.0000 0.0000 0.0000



- The highest energy of formation belongs to which entry?
  CaPr2Ho